Entry 1:
# KNaBeS2 PBE relaxed
data_KNaBeS2
_space_group_name_H-M_alt 'P 1 2/c 1'
_space_group_IT_number 13
_space_group_name_Hall '-P 2yc'
_cell_length_a 7.015
_cell_length_b 5.096
_cell_length_c 7.807
_cell_angle_alpha 90.00
_cell_angle_beta 102.25
_cell_angle_gamma 90.00
loop_
_atom_site_label
_atom_site_type_symbol
_atom_site_fract_x
_atom_site_fract_y
_atom_site_fract_z
K1 K 0.000 0.222 0.250
Na1 Na 0.500 0.483 0.750
Be1 Be 0.500 0.000 0.000
S1 S 0.283 0.225 0.966
# Raw formation energy: -1.00 eV per atom

Entry 2:
# AlTlO3 PBE relaxed
data_AlTlO3
_space_group_name_H-M_alt 'P 63 2 2'
_space_group_IT_number 182
_space_group_name_Hall 'P 6c 2c'
_cell_length_a 5.3784
_cell_length_b 5.3784
_cell_length_c 4.9460
_cell_angle_alpha 90.00
_cell_angle_beta 90.00
_cell_angle_gamma 120.00
loop_
_atom_site_label
_atom_site_type_symbol
_atom_site_fract_x
_atom_site_fract_y
_atom_site_fract_z
Al1 Al 0.0000 0.0000 0.2500
Tl1 Tl 0.3333 0.6667 0.2500
O1 O 0.0000 0.2740 0.5000
# Raw formation energy: -1.71 eV per atom

Entry 3:
# AcSi2Pt2 PBE relaxed
data_AcSi2Pt2
_space_group_name_H-M_alt 'I 4/m m m'
_space_group_IT_number 139
_space_group_name_Hall '-I 4 2'
_cell_length_a 4.390
_cell_length_b 4.390
_cell_length_c 10.109
_cell_angle_alpha 90.00
_cell_angle_beta 90.00
_cell_angle_gamma 90.00
loop_
_atom_site_label
_atom_site_type_symbol
_atom_site_fract_x
_atom_site_fract_y
_atom_site_fract_z
Ac1 Ac 0.000 0.000 0.000
Si1 Si 0.000 0.000 0.373
Pt1 Pt 0.000 0.500 0.250
# Raw formation energy: -0.96 eV per atom
# ΔE to the lowest computed polymorph: 91 meV per atom

Entry 4:
# Pr4Y2Tl PBE relaxed
data_Pr4Y2Tl
_space_group_name_H-M_alt 'C m m m'
_space_group_IT_number 65
_space_group_name_Hall '-C 2 2'
_cell_length_a 6.314
_cell_length_b 12.609
_cell_length_c 6.194
_cell_angle_alpha 90.00
_cell_angle_beta 90.00
_cell_angle_gamma 90.00
loop_
_atom_site_label
_atom_site_type_symbol
_atom_site_fract_x
_atom_site_fract_y
_atom_site_fract_z
Pr1 Pr 0.000 0.131 0.000
Pr2 Pr 0.000 0.332 0.500
Y1 Y 0.000 0.379 0.000
Tl1 Tl 0.000 0.000 0.500
# Energy of formation from the pure elements: 413.5 meV/atom

Entry 5:
# YAlZn PBE relaxed
data_YAlZn
_space_group_name_H-M_alt 'C m c m'
_space_group_IT_number 63
_space_group_name_Hall '-C 2c 2'
_cell_length_a 4.859
_cell_length_b 8.326
_cell_length_c 5.999
_cell_angle_alpha 90.00
_cell_angle_beta 90.00
_cell_angle_gamma 90.00
loop_
_atom_site_label
_atom_site_type_symbol
_atom_site_fract_x
_atom_site_fract_y
_atom_site_fract_z
Y1 Y 0.000 0.165 0.250
Al1 Al 0.000 0.500 0.000
Zn1 Zn 0.000 0.170 0.750
# Energy of formation from the pure elements: -373.8 meV/atom

Entry 6:
# NpMoS2 PBE relaxed
data_NpMoS2
_space_group_name_H-M_alt 'R -3 m'
_space_group_IT_number 166
_space_group_name_Hall '-R 3 2"'
_cell_length_a 3.1503
_cell_length_b 3.1503
_cell_length_c 26.1325
_cell_angle_alpha 90.00
_cell_angle_beta 90.00
_cell_angle_gamma 120.00
loop_
_atom_site_label
_atom_site_type_symbol
_atom_site_fract_x
_atom_site_fract_y
_atom_site_fract_z
Np1 Np 0.0000 0.0000 0.0000
Mo1 Mo 0.0000 0.0000 0.5000
S1 S 0.0000 0.0000 0.4110
# Raw formation energy: -0.08 eV per atom
# ΔE to the lowest computed polymorph: 328 meV per atom

Entry 7:
# Li2Mg3Au PBE relaxed
data_Li2Mg3Au
_space_group_name_H-M_alt 'C m m m'
_space_group_IT_number 65
_space_group_name_Hall '-C 2 2'
_cell_length_a 4.413
_cell_length_b 13.275
_cell_length_c 3.846
_cell_angle_alpha 90.00
_cell_angle_beta 90.00
_cell_angle_gamma 90.00
loop_
_atom_site_label
_atom_site_type_symbol
_atom_site_fract_x
_atom_site_fract_y
_atom_site_fract_z
Li1 Li 0.000 0.160 0.000
Mg1 Mg 0.000 0.000 0.500
Mg2 Mg 0.000 0.338 0.500
Au1 Au 0.000 0.500 0.000
# Energy of formation from the pure elements: -291.0 meV/atom

Entry 8:
# LiNpO3 PBE relaxed
data_LiNpO3
_space_group_name_H-M_alt 'R 3 m'
_space_group_IT_number 160
_space_group_name_Hall 'R 3 -2"'
_cell_length_a 5.9097
_cell_length_b 5.9097
_cell_length_c 7.6340
_cell_angle_alpha 90.00
_cell_angle_beta 90.00
_cell_angle_gamma 120.00
loop_
_atom_site_label
_atom_site_type_symbol
_atom_site_fract_x
_atom_site_fract_y
_atom_site_fract_z
Li1 Li 0.0000 0.0000 0.0000
Np1 Np 0.0000 0.0000 0.6334
O1 O 0.1761 0.3523 0.4887
# Raw formation energy: -2.58 eV per atom

| no. | DOS at the Fermi energy (states/eV per atom) | volume (Å³ per cell) | uncorrected energy (eV per atom) |
| --- | --- | --- | --- |
| 1 | 0.0000 | 272.73 | -3.882 |
| 2 | 0.1058 | 123.91 | -5.910 |
| 3 | 0.7723 | 194.86 | -6.372 |
| 4 | 1.3679 | 493.10 | -4.503 |
| 5 | 0.2503 | 242.69 | -4.201 |
| 6 | 1.5885 | 224.61 | -8.084 |
| 7 | 0.3682 | 225.28 | -2.272 |
| 8 | 0.8321 | 230.90 | -8.522 |